# 1
TmSi2Tc: relaxed, PBE.

Summary:
space group = R-3m, No. 166
raw formation energy = 1.079 eV per atom
polymorph energy (0 for the lowest one) = 1.758 eV per atom
energy = -5.342 eV per atom
size of the total moment = 2.71 μB per formula unit

```
TmSi2Tc
1.0
4.601 0.000 0.000
2.301 3.985 0.000
2.301 1.328 6.163
Tm Si Tc
1 2 1
Cartesian
4.601 2.657 3.082
6.902 3.985 2.326
2.301 1.328 3.837
0.000 0.000 0.000
```

# 2
TmSi3Tc3: relaxed, PBE.

Summary:
space group = Pm-3n, No. 223
raw formation energy = 0.217 eV per atom
energy = -7.189 eV per atom
size of the total moment = 2.32 μB per formula unit

```
TmSi3Tc3
1.0
-5.096 -0.654 -4.064
3.969 -2.496 -4.575
-1.092 -6.022 2.338
Tm Tc Si
2 6 6
Cartesian
0.000 0.000 0.000
-1.109 -4.586 -3.151
1.166 -5.764 -0.534
-1.556 -0.951 -3.176
-4.368 -3.501 -1.879
1.712 -2.753 -1.703
-1.820 -3.174 0.153
0.429 -2.199 -5.464
-3.367 -4.843 -0.279
-1.838 -1.739 -5.336
0.711 -1.412 -3.304
0.446 -3.635 0.025
2.431 -4.883 -2.262
-2.821 -1.832 -1.448
```

# 3
Tm2SiTc: relaxed, PBE.

Summary:
space group = R-3m, No. 166
raw formation energy = 0.415 eV per atom
polymorph energy (0 for the lowest one) = 0.664 eV per atom
energy = -5.768 eV per atom
size of the total moment = 0.39 μB per formula unit

```
Tm2SiTc
1.0
-2.213 -1.027 2.038
0.412 -2.751 1.540
3.839 3.425 8.374
Si Tc Tm
1 1 2
Cartesian
1.019 -0.177 5.976
0.000 0.000 0.000
2.635 2.155 6.427
-0.598 -2.509 5.525
```